TbTaIr, relaxed, DFT PBE; formation energy from the elements = -0.25 eV/f.u.; crystal system = orthorhombic; total DFT energy (no corrections) = -25.59 eV/f.u.; ρ = 14016 kg/m³
1.0
-2.354 -4.833 0.805
2.696 -1.352 -0.236
2.388 0.077 7.440
Tb Ta Ir
2 2 2
Direct
0.250 0.327 0.346 Tb
0.750 0.673 0.654 Tb
0.500 0.000 0.000 Ta
0.000 0.000 0.000 Ta
0.750 0.857 0.286 Ir
0.250 0.143 0.714 Ir